# SrAcPm2, relaxed, DFT PBE-GGA
# energy relative to the elements: 120 meV per atom
# density of states at the Fermi level: 21.5 states/eV/cell
# energy above the most stable polymorph in this dataset: 0.013 eV per atom
data_SrAcPm2
_chemical_formula_sum 'Sr3 Ac3 Pm6'
_symmetry_space_group_name_H-M 'R 3 m'
_symmetry_Int_Tables_number 160
_symmetry_space_group_name_Hall 'R 3 -2"'
_cell_length_a 3.8521
_cell_length_b 3.8521
_cell_length_c 38.0292
_cell_angle_alpha 90.00
_cell_angle_beta 90.00
_cell_angle_gamma 120.00
loop_
_atom_site_label
_atom_site_type_symbol
_atom_site_fract_x
_atom_site_fract_y
_atom_site_fract_z
Sr1 Sr 0.0000 0.0000 0.0000
Ac1 Ac 0.0000 0.0000 0.8337
Pm1 Pm 0.0000 0.0000 0.4196
Pm2 Pm 0.0000 0.0000 0.5806